[1]
Density functional theory data (PBE-GGA) for an optimized crystal structure of CoCuSnTe3.

POSCAR file:
```
CoCuSnTe3
1.0
1.3377 2.0469 -6.5134
-3.3181 1.1347 6.0089
8.4988 5.8587 3.5866
Te Sn Co Cu
6 2 2 2
direct
0.0119 0.9881 0.2500
0.3736 0.6264 0.0104
0.9881 0.0119 0.7500
0.6264 0.3736 0.5104
0.3736 0.6264 0.4896
0.6264 0.3736 0.9896
0.7126 0.2874 0.2500
0.2874 0.7126 0.7500
0.0000 0.0000 0.5000
0.0000 0.0000 0.0000
0.6407 0.3593 0.7500
0.3593 0.6407 0.2500
```

Space-group type: No. 63
Raw total energy (eV per atom): -4.098

***

[2]
Density functional theory data (PBE-GGA) for an optimized crystal structure of CoCuSnW.

POSCAR file:
```
CoCuSnW
1.0
3.1099 -1.7739 2.5671
-0.1463 0.5879 4.3636
-0.9917 -3.3799 2.6460
Cu Co W Sn
1 1 1 1
direct
0.7500 0.7500 0.7500
0.5000 0.5000 0.5000
0.2500 0.2500 0.2500
0.0000 0.0000 0.0000
```

Space-group type: No. 216
ΔE to the lowest computed polymorph (eV/atom): 0.113
Raw total energy (eV per atom): -6.421

***

[3]
Density functional theory data (PBE-GGA) for an optimized crystal structure of CoCuSnW.

POSCAR file:
```
CoCuSnW
1.0
0.0000 3.1136 3.1136
3.1136 0.0000 3.1136
3.1136 3.1136 0.0000
W Sn Cu Co
1 1 1 1
direct
0.2500 0.2500 0.2500
0.0000 0.0000 0.0000
0.5000 0.5000 0.5000
0.7500 0.7500 0.7500
```

Space-group type: No. 216
ΔE to the lowest computed polymorph (eV/atom): 0.147
Raw total energy (eV per atom): -6.387

***

[4]
Density functional theory data (PBE-GGA) for an optimized crystal structure of CoCuSnW.

POSCAR file:
```
CoCuSnW
1.0
0.0000 3.0771 3.0771
3.0771 0.0000 3.0771
3.0771 3.0771 0.0000
Cu Co Sn W
1 1 1 1
direct
0.2500 0.2500 0.2500
0.7500 0.7500 0.7500
0.0000 0.0000 0.0000
0.5000 0.5000 0.5000
```

Space-group type: No. 216
ΔE to the lowest computed polymorph (eV/atom): 0.000
Raw total energy (eV per atom): -6.534

***

[5]
Density functional theory data (PBE-GGA) for an optimized crystal structure of YCoCuSn.

POSCAR file:
```
YCoCuSn
1.0
-1.1468 -3.1958 -3.2828
-4.5355 -0.7505 -1.0822
-1.6956 1.4091 -4.1766
Co Sn Y Cu
1 1 1 1
direct
0.5000 0.5000 0.5000
0.0000 0.0000 0.0000
0.2500 0.2500 0.2500
0.7500 0.7500 0.7500
```

Space-group type: No. 216
ΔE to the lowest computed polymorph (eV/atom): 0.309
Raw total energy (eV per atom): -5.261

***

[6]
Density functional theory data (PBE-GGA) for an optimized crystal structure of YCoCuSn.

POSCAR file:
```
YCoCuSn
1.0
-1.7659 -4.1887 -0.8442
0.8712 -3.5016 2.8908
-3.3702 -1.6725 2.6872
Cu Co Y Sn
1 1 1 1
direct
0.2500 0.2500 0.2500
0.7500 0.7500 0.7500
0.5000 0.5000 0.5000
0.0000 0.0000 0.0000
```

Space-group type: No. 216
ΔE to the lowest computed polymorph (eV/atom): 0.000
Raw total energy (eV per atom): -5.570

***

[7]
Density functional theory data (PBE-GGA) for an optimized crystal structure of ZnCoCu4Sn2.

POSCAR file:
```
ZnCoCu4Sn2
1.0
-2.6310 -0.0852 -3.4495
-2.5448 -2.8815 2.0122
-3.3174 4.6169 2.4162
Sn Cu Zn Co
2 4 1 1
direct
0.0000 0.0000 0.0000
0.5000 0.5000 0.5000
0.5000 0.0000 0.2480
0.0000 0.5000 0.7520
0.5000 0.0000 0.7520
0.0000 0.5000 0.2480
0.0000 0.0000 0.5000
0.5000 0.5000 0.0000
```

Space-group type: No. 123
Raw total energy (eV per atom): -3.753

***

[8]
Density functional theory data (PBE-GGA) for an optimized crystal structure of ZrCoCuSn.

POSCAR file:
```
ZrCoCuSn
1.0
-3.1684 -2.1644 2.4115
-1.0732 1.4561 4.1554
-4.0154 1.9644 0.7460
Zr Sn Co Cu
1 1 1 1
direct
0.0000 0.0000 0.0000
0.2500 0.2500 0.2500
0.5000 0.5000 0.5000
0.7500 0.7500 0.7500
```

Space-group type: No. 216
ΔE to the lowest computed polymorph (eV/atom): 0.290
Raw total energy (eV per atom): -5.860

***

[9]
Density functional theory data (PBE-GGA) for an optimized crystal structure of ZrCoCuSn.

POSCAR file:
```
ZrCoCuSn
1.0
0.0000 3.2236 3.2236
3.2236 0.0000 3.2236
3.2236 3.2236 0.0000
Co Sn Zr Cu
1 1 1 1
direct
0.0000 0.0000 0.0000
0.5000 0.5000 0.5000
0.2500 0.2500 0.2500
0.7500 0.7500 0.7500
```

Space-group type: No. 216
ΔE to the lowest computed polymorph (eV/atom): 0.322
Raw total energy (eV per atom): -5.827

***

[10]
Density functional theory data (PBE-GGA) for an optimized crystal structure of SrCoCu.

POSCAR file:
```
SrCoCu
1.0
3.0302 0.0000 0.0000
0.0000 5.6267 5.1806
0.0000 -5.6267 5.1806
Cu Co Sr
3 3 3
direct
0.5000 0.6100 0.2760
0.5000 0.2760 0.6100
0.5000 0.9424 0.9424
0.0000 0.7214 0.0545
0.0000 0.0545 0.7214
0.0000 0.3886 0.3886
0.5000 0.6687 0.6687
0.5000 0.3356 0.0030
0.5000 0.0030 0.3356
```

Space-group type: No. 38
ΔE to the lowest computed polymorph (eV/atom): 0.000
Raw total energy (eV per atom): -3.679

***

[11]
Density functional theory data (PBE-GGA) for an optimized crystal structure of SrCoCu2.

POSCAR file:
```
SrCoCu2
1.0
4.2958 -1.0109 1.2564
2.5106 3.0900 2.2811
0.9973 -0.6723 4.4281
Cu Co Sr
2 1 1
direct
0.0000 0.0000 0.0000
0.7500 0.7500 0.7500
0.2500 0.2500 0.2500
0.5000 0.5000 0.5000
```

Space-group type: No. 216
Raw total energy (eV per atom): -3.463

***

[12]
Density functional theory data (PBE-GGA) for an optimized crystal structure of SrCoCuTe3.

POSCAR file:
```
SrCoCuTe3
1.0
8.0880 0.0000 0.0000
0.0000 4.0911 0.0000
-2.1664 0.0000 9.0031
Te Cu Co Sr
6 2 2 2
direct
0.4559 0.7500 0.6327
0.1348 0.2500 0.3772
0.8652 0.7500 0.6228
0.2671 0.7500 0.0590
0.7329 0.2500 0.9410
0.5441 0.2500 0.3673
0.0627 0.2500 0.0768
0.9373 0.7500 0.9232
0.3404 0.7500 0.3530
0.6596 0.2500 0.6470
0.1930 0.2500 0.7670
0.8070 0.7500 0.2330
```

Space-group type: No. 11
ΔE to the lowest computed polymorph (eV/atom): 0.000
Raw total energy (eV per atom): -4.183

***

[13]
Density functional theory data (PBE-GGA) for an optimized crystal structure of SrCoCuTe3.

POSCAR file:
```
SrCoCuTe3
1.0
2.7348 2.3285 -6.0108
-3.0428 -5.3932 3.2690
-9.5352 3.5941 -2.9460
Te Cu Co Sr
6 2 2 2
direct
0.6246 0.3754 0.5280
0.9312 0.0688 0.7500
0.3754 0.6246 0.0280
0.0688 0.9312 0.2500
0.6246 0.3754 0.9720
0.3754 0.6246 0.4720
0.4553 0.5447 0.2500
0.5447 0.4553 0.7500
0.0000 0.0000 0.0000
0.0000 0.0000 0.5000
0.7691 0.2309 0.2500
0.2309 0.7691 0.7500
```

Space-group type: No. 63
ΔE to the lowest computed polymorph (eV/atom): 0.071
Raw total energy (eV per atom): -4.113

***

[14]
Density functional theory data (PBE-GGA) for an optimized crystal structure of TaCo2Cu.

POSCAR file:
```
TaCo2Cu
1.0
0.0000 2.9314 2.9314
2.9314 0.0000 2.9314
2.9314 2.9314 0.0000
Cu Ta Co
1 1 2
direct
0.2500 0.2500 0.2500
0.5000 0.5000 0.5000
0.7500 0.7500 0.7500
0.0000 0.0000 0.0000
```

Space-group type: No. 216
Raw total energy (eV per atom): -7.280

***

[15]
Density functional theory data (PBE-GGA) for an optimized crystal structure of TaTlCoCu.

POSCAR file:
```
TaTlCoCu
1.0
-2.5673 -3.6690 0.1547
-1.6410 -1.4225 3.9193
-4.3822 0.3666 0.8595
Co Ta Cu Tl
1 1 1 1
direct
0.5000 0.5000 0.5000
0.2500 0.2500 0.2500
0.7500 0.7500 0.7500
0.0000 0.0000 0.0000
```

Space-group type: No. 216
ΔE to the lowest computed polymorph (eV/atom): 0.246
Raw total energy (eV per atom): -5.730

***

[16]
Density functional theory data (PBE-GGA) for an optimized crystal structure of TaTlCoCu.

POSCAR file:
```
TaTlCoCu
1.0
0.0000 3.1536 3.1536
3.1536 0.0000 3.1536
3.1536 3.1536 0.0000
Ta Cu Tl Co
1 1 1 1
direct
0.2500 0.2500 0.2500
0.5000 0.5000 0.5000
0.0000 0.0000 0.0000
0.7500 0.7500 0.7500
```

Space-group type: No. 216
ΔE to the lowest computed polymorph (eV/atom): 0.303
Raw total energy (eV per atom): -5.673

***

[17]
Density functional theory data (PBE-GGA) for an optimized crystal structure of TaTlCoCu.

POSCAR file:
```
TaTlCoCu
1.0
0.0000 3.1259 3.1259
3.1259 0.0000 3.1259
3.1259 3.1259 0.0000
Ta Cu Co Tl
1 1 1 1
direct
0.5000 0.5000 0.5000
0.2500 0.2500 0.2500
0.7500 0.7500 0.7500
0.0000 0.0000 0.0000
```

Space-group type: No. 216
ΔE to the lowest computed polymorph (eV/atom): 0.000
Raw total energy (eV per atom): -5.975

***

[18]
Density functional theory data (PBE-GGA) for an optimized crystal structure of YTaCoCu.

POSCAR file:
```
YTaCoCu
1.0
3.5064 -2.0352 1.9672
-0.2532 -1.2466 4.3230
-0.2433 -4.3696 1.0744
Cu Y Ta Co
1 1 1 1
direct
0.7500 0.7500 0.7500
0.0000 0.0000 0.0000
0.2500 0.2500 0.2500
0.5000 0.5000 0.5000
```

Space-group type: No. 216
ΔE to the lowest computed polymorph (eV/atom): 0.200
Raw total energy (eV per atom): -6.963

***

[19]
Density functional theory data (PBE-GGA) for an optimized crystal structure of YTaCoCu.

POSCAR file:
```
YTaCoCu
1.0
-0.2215 -4.5493 0.3672
-3.5532 -2.2646 -1.7682
0.5731 -2.6213 -3.6987
Y Cu Co Ta
1 1 1 1
direct
0.0000 0.0000 0.0000
0.7500 0.7500 0.7500
0.2500 0.2500 0.2500
0.5000 0.5000 0.5000
```

Space-group type: No. 216
ΔE to the lowest computed polymorph (eV/atom): 0.000
Raw total energy (eV per atom): -7.163

***

[20]
Density functional theory data (PBE-GGA) for an optimized crystal structure of TaZnCoCu.

POSCAR file:
```
TaZnCoCu
1.0
0.0000 2.9914 2.9914
2.9914 0.0000 2.9914
2.9914 2.9914 0.0000
Zn Co Cu Ta
1 1 1 1
direct
0.0000 0.0000 0.0000
0.7500 0.7500 0.7500
0.2500 0.2500 0.2500
0.5000 0.5000 0.5000
```

Space-group type: No. 216
ΔE to the lowest computed polymorph (eV/atom): 0.000
Raw total energy (eV per atom): -6.015